# 1
Compound: Tb6Te3AsPt2
Source: Alexandria
Functional: GGA-PBE
Structure: optimized geometry

Values from the calculation:
- Theoretical density: 9.031 g cm⁻³
- Final energy: -139.8 eV per cell
- Uncorrected formation energy: -1.330 eV/atom

Lattice parameters (Å, degrees): 7.242 12.590 7.667 90.00 108.62 90.00
Space group C2/m (No. 12)
Symmetry-distinct sites (fractional):
Tb 0.231 0.000 0.215 (multiplicity 4)
Tb 0.242 0.330 0.217 (multiplicity 8)
Te 0.000 0.000 0.500 (multiplicity 2)
Te 0.000 0.337 0.500 (multiplicity 4)
As 0.000 0.500 0.000 (multiplicity 2)
Pt 0.000 0.168 0.000 (multiplicity 4)

=====

# 2
Compound: Tb8Te4AsPt3
Source: Alexandria
Functional: GGA-PBE
Structure: optimized geometry

Values from the calculation:
- Theoretical density: 9.175 g cm⁻³
- Final energy: -280.0 eV per cell
- Uncorrected formation energy: -1.309 eV/atom

Lattice parameters (Å, degrees): 8.3789 8.3789 21.8066 90.00 90.00 120.00
Space group R-3m (No. 166, hexagonal axes)
Symmetry-distinct sites (fractional):
Tb 0.0000 0.0000 0.2366 (multiplicity 6)
Tb 0.0059 0.5029 0.7612 (multiplicity 18)
Te 0.0000 0.0000 0.0000 (multiplicity 3)
Te 0.0000 0.5000 0.0000 (multiplicity 9)
As 0.0000 0.0000 0.5000 (multiplicity 3)
Pt 0.0000 0.5000 0.5000 (multiplicity 9)

=====

# 3
Compound: TcAsPt3
Source: Alexandria
Functional: GGA-PBE
Structure: optimized geometry

Values from the calculation:
- Formation enthalpy at 0 K: 1294 meV per atom
- Theoretical density: 11.449 g cm⁻³
- Final energy: -26.7 eV per cell

Lattice parameters (Å, degrees): 4.791 4.791 4.791 90.00 90.00 90.00
Space group Pm-3m (No. 221)
Symmetry-distinct sites (fractional):
Tc 0.000 0.000 0.000 (multiplicity 1)
As 0.500 0.500 0.500 (multiplicity 1)
Pt 0.000 0.000 0.500 (multiplicity 3)

=====

# 4
Compound: Tc2AsPt
Source: Alexandria
Functional: GGA-PBE
Structure: optimized geometry

Values from the calculation:
- Formation enthalpy at 0 K: 75 meV per atom
- Theoretical density: 12.685 g cm⁻³
- Final energy: -62.2 eV per cell

Lattice parameters (Å, degrees): 9.232 2.839 4.918 90.00 108.82 90.00
Space group C2/m (No. 12)
Symmetry-distinct sites (fractional):
Tc 0.228 0.000 0.256 (multiplicity 4)
As 0.000 0.500 0.000 (multiplicity 2)
Pt 0.000 0.000 0.500 (multiplicity 2)

=====

# 5
Compound: Tc4AsPt
Source: Alexandria
Functional: GGA-PBE
Structure: optimized geometry

Values from the calculation:
- Formation enthalpy at 0 K: 542 meV per atom
- Theoretical density: 11.401 g cm⁻³
- Final energy: -195.6 eV per cell

Lattice parameters (Å, degrees): 7.279 7.279 7.279 90.00 90.00 90.00
Space group F-43m (No. 216)
Symmetry-distinct sites (fractional):
Tc 0.124 0.124 0.376 (multiplicity 16)
As 0.000 0.000 0.000 (multiplicity 4)
Pt 0.250 0.250 0.750 (multiplicity 4)

=====

# 6
Compound: Tc2AsPt
Source: Alexandria
Functional: GGA-PBE
Structure: optimized geometry

Values from the calculation:
- Formation enthalpy at 0 K: 33 meV per atom
- Theoretical density: 12.796 g cm⁻³
- Final energy: -62.6 eV per cell

Lattice parameters (Å, degrees): 3.049 4.423 8.967 90.00 90.00 90.00
Space group Immm (No. 71)
Symmetry-distinct sites (fractional):
Tc 0.000 0.000 0.216 (multiplicity 4)
As 0.000 0.500 0.500 (multiplicity 2)
Pt 0.000 0.500 0.000 (multiplicity 2)

=====

# 7
Compound: Tc2AsPt
Source: Alexandria
Functional: GGA-PBE
Structure: optimized geometry

Values from the calculation:
- Formation enthalpy at 0 K: 217 meV per atom
- Theoretical density: 12.757 g cm⁻³
- Final energy: -30.6 eV per cell

Lattice parameters (Å, degrees): 3.818 3.818 4.162 90.00 90.00 90.00
Space group P4/mmm (No. 123)
Symmetry-distinct sites (fractional):
Tc 0.000 0.500 0.000 (multiplicity 2)
As 0.000 0.000 0.500 (multiplicity 1)
Pt 0.500 0.500 0.500 (multiplicity 1)

=====

# 8
Compound: Tc2AsPt
Source: Alexandria
Functional: GGA-PBE
Structure: optimized geometry

Values from the calculation:
- Formation enthalpy at 0 K: 17 meV per atom
- Theoretical density: 12.784 g cm⁻³
- Final energy: -31.4 eV per cell

Lattice parameters (Å, degrees): 2.886 4.005 5.401 90.00 104.19 90.00
Space group P2/m (No. 10)
Symmetry-distinct sites (fractional):
Tc 0.128 0.000 0.262 (multiplicity 2)
As 0.500 0.500 0.500 (multiplicity 1)
Pt 0.500 0.500 0.000 (multiplicity 1)

=====

# 9
Compound: Tc2AsPt
Source: Alexandria
Functional: GGA-PBE
Structure: optimized geometry

Values from the calculation:
- Formation enthalpy at 0 K: 16 meV per atom
- Theoretical density: 12.985 g cm⁻³
- Final energy: -62.7 eV per cell

Lattice parameters (Å, degrees): 3.071 4.416 8.789 90.00 90.00 90.00
Space group Imm2 (No. 44)
Symmetry-distinct sites (fractional):
Tc 0.000 0.000 0.000 (multiplicity 2)
Tc 0.000 0.500 0.227 (multiplicity 2)
As 0.000 0.000 0.502 (multiplicity 2)
Pt 0.000 0.500 0.775 (multiplicity 2)

=====

# 10
Compound: Tc2AsPt
Source: Alexandria
Functional: GGA-PBE
Structure: optimized geometry

Values from the calculation:
- Formation enthalpy at 0 K: 26 meV per atom
- Theoretical density: 12.662 g cm⁻³
- Final energy: -93.9 eV per cell

Lattice parameters (Å, degrees): 2.8366 2.8366 26.3114 90.00 90.00 120.00
Space group R3m (No. 160, hexagonal axes)
Symmetry-distinct sites (fractional):
Tc 0.0000 0.0000 0.0000 (multiplicity 3)
Tc 0.0000 0.0000 0.2536 (multiplicity 3)
As 0.0000 0.0000 0.7470 (multiplicity 3)
Pt 0.0000 0.0000 0.5002 (multiplicity 3)

=====

# 11
Compound: Tc2AsPt
Source: Alexandria
Functional: GGA-PBE
Structure: optimized geometry

Values from the calculation:
- Formation enthalpy at 0 K: 21 meV per atom
- Theoretical density: 12.580 g cm⁻³
- Final energy: -62.7 eV per cell

Lattice parameters (Å, degrees): 9.191 2.898 4.630 90.00 93.98 90.00
Space group Cm (No. 8)
Symmetry-distinct sites (fractional):
Tc 0.000 0.000 0.000 (multiplicity 2)
Tc 0.228 0.500 0.216 (multiplicity 2)
As 0.246 0.000 0.772 (multiplicity 2)
Pt 0.465 0.000 0.480 (multiplicity 2)

=====

# 12
Compound: Tc2AsPt
Source: Alexandria
Functional: GGA-PBE
Structure: optimized geometry

Values from the calculation:
- Formation enthalpy at 0 K: 752 meV per atom
- Theoretical density: 8.864 g cm⁻³
- Final energy: -113.7 eV per cell

Lattice parameters (Å, degrees): 5.673 5.673 10.852 90.00 90.00 90.00
Space group I-42d (No. 122)
Symmetry-distinct sites (fractional):
Tc 0.247 0.250 0.125 (multiplicity 8)
As 0.000 0.000 0.000 (multiplicity 4)
Pt 0.000 0.000 0.500 (multiplicity 4)

=====

Q: The lowest final energy belongs to which entry?
A: Tb8Te4AsPt3

=====

Q: What is the theoretical density in the fifth record?
A: 11.401 g cm⁻³

=====

Q: The highest final energy belongs to which entry?
A: TcAsPt3